Record 1
Below is a geometry-optimized Pm6Tl3In structure, with properties calculated at the PBE level.

## Properties
**Distance to the lowest polymorph of the same formula**: 97 meV/atom
**Total energy**: -4.05 eV/atom
**Energy relative to the elements**: -2.2 eV/f.u.
**Magnetic moment**: 0.000 μB/cell

Unit cell a=11.9456 b=3.7600 c=14.6469 alpha=90.00 beta=105.74 gamma=90.00
Element x y z (fractional)
Pm: 0.0080 0.2500 0.1803
Pm: 0.1082 0.7500 0.4139
Pm: 0.2369 0.2500 0.8287
Pm: 0.3164 0.2500 0.2589
Pm: 0.3569 0.2500 0.6263
Pm: 0.3713 0.7500 0.0330
Pm: 0.6287 0.2500 0.9670
Pm: 0.6431 0.7500 0.3737
Pm: 0.6836 0.7500 0.7411
Pm: 0.7631 0.7500 0.1713
Pm: 0.8918 0.2500 0.5861
Pm: 0.9920 0.7500 0.8197
Tl: 0.1215 0.7500 0.6383
Tl: 0.1357 0.2500 0.0156
Tl: 0.3912 0.7500 0.4482
Tl: 0.6088 0.2500 0.5518
Tl: 0.8643 0.7500 0.9844
Tl: 0.8785 0.2500 0.3617
In: 0.4564 0.7500 0.8183
In: 0.5436 0.2500 0.1817

Record 2
Below is a geometry-optimized BaTaIr2 structure, with properties calculated at the PBE level.

## Properties
**Distance to the lowest polymorph of the same formula**: 58 meV/atom
**Total energy**: -8.03 eV/atom
**Energy relative to the elements**: -0.6 eV/f.u.
**Magnetic moment**: 0.000 μB/cell

Unit cell a=6.5540 b=6.5540 c=6.5540 alpha=39.00 beta=39.00 gamma=39.00
Element x y z (fractional)
Ba: 0.0000 0.0000 0.0000
Ta: 0.5000 0.5000 0.5000
Ir: 0.2037 0.2037 0.2037
Ir: 0.7963 0.7963 0.7963

Record 3
Below is a geometry-optimized Zr2AlSi structure, with properties calculated at the PBE level.

## Properties
**Distance to the lowest polymorph of the same formula**: 253 meV/atom
**Total energy**: -7.05 eV/atom
**Formation energy from raw total energies**: -482 meV/atom
**Magnetic moment**: 0.000 μB/cell

Unit cell a=4.0803 b=4.2484 c=4.2632 alpha=90.00 beta=90.00 gamma=90.00
Element x y z (fractional)
Zr: 0.0000 0.0000 0.0000
Zr: 0.0000 0.5000 0.5000
Al: 0.5000 0.0000 0.5000
Si: 0.5000 0.5000 0.0000

Record 4
Below is a geometry-optimized Ba2PaGaN4 structure, with properties calculated at the PBE level.

## Properties
**Total energy**: -6.96 eV/atom
**Formation energy from raw total energies**: -756 meV/atom
**Magnetic moment**: 0.000 μB/cell

Unit cell a=5.9293 b=5.9293 c=5.9293 alpha=116.98 beta=116.98 gamma=95.32
Element x y z (fractional)
Ba: 0.0000 0.0000 0.0000
Ba: 0.7500 0.2500 0.5000
Pa: 0.2500 0.7500 0.5000
Ga: 0.5000 0.5000 0.0000
N: 0.2180 0.6135 0.0759
N: 0.3865 0.4624 0.6044
N: 0.5376 0.1420 0.9241
N: 0.8580 0.7820 0.3956

Record 5
Below is a geometry-optimized ZnMo2Au structure, with properties calculated at the PBE level.

## Properties
**Total energy**: -6.43 eV/atom
**Energy relative to the elements**: 0.5 eV/f.u.
**Magnetic moment**: 0.000 μB/cell

Unit cell a=3.7642 b=3.7642 c=4.4541 alpha=90.00 beta=90.00 gamma=90.00
Element x y z (fractional)
Zn: 0.0000 0.0000 0.0000
Mo: 0.0000 0.5000 0.5000
Mo: 0.5000 0.0000 0.5000
Au: 0.5000 0.5000 0.0000

Record 6
Below is a geometry-optimized HfZn2Ge2 structure, with properties calculated at the PBE level.

## Properties
**Distance to the lowest polymorph of the same formula**: 0 meV/atom
**Total energy**: -4.60 eV/atom
**Energy relative to the elements**: -1.3 eV/f.u.
**Magnetic moment**: 0.000 μB/cell

Unit cell a=11.5349 b=11.5349 c=3.8308 alpha=90.00 beta=90.00 gamma=160.84
Element x y z (fractional)
Hf: 0.1550 0.8450 0.7500
Hf: 0.8450 0.1550 0.2500
Zn: 0.0428 0.9572 0.2500
Zn: 0.4565 0.5435 0.2500
Zn: 0.5435 0.4565 0.7500
Zn: 0.9572 0.0428 0.7500
Ge: 0.2499 0.7501 0.2500
Ge: 0.3736 0.6264 0.7500
Ge: 0.6264 0.3736 0.2500
Ge: 0.7501 0.2499 0.7500